[1]
{"formula": "Ac2DyNiO6", "functional": "PBE+U", "state": "optimized geometry", "space_group": "C2/m", "magnetic_moment_mub_per_fu": 1.00, "vol_a3_per_atom": 14.3, "density_g_cm3": 8.98, "final_energy_ev_per_atom": -7.236, "cell": [[5.1036, -2.8295, 0.0000], [5.1036, 2.8295, 0.0000], [-3.0825, 0.0000, 4.9393]], "species": ["Ac", "Ac", "Dy", "Ni", "O", "O", "O", "O", "O", "O"], "fractional_positions": [[0.2424, 0.2424, 0.2300], [0.7576, 0.7576, 0.7700], [0.0000, 0.0000, 0.5000], [0.5000, 0.5000, 0.0000], [0.2119, 0.6856, 0.1774], [0.2524, 0.2524, 0.6614], [0.3144, 0.7881, 0.8226], [0.6856, 0.2119, 0.1774], [0.7476, 0.7476, 0.3386], [0.7881, 0.3144, 0.8226]]}



[2]
{"formula": "Ac3DyNi2O9", "functional": "PBE+U", "state": "optimized geometry", "space_group": "P-3m1", "magnetic_moment_mub_per_fu": 2.00, "vol_a3_per_atom": 13.5, "density_g_cm3": 9.09, "dos_at_fermi_per_ev_fu": 2.604, "final_energy_ev_per_atom": -6.929, "cell": [[5.6997, 0.0000, 0.0000], [-2.8499, 4.9361, 0.0000], [0.0000, 0.0000, 7.1756]], "species": ["Ac", "Ac", "Ac", "Dy", "Ni", "Ni", "O", "O", "O", "O", "O", "O", "O", "O", "O"], "fractional_positions": [[0.0000, 0.0000, 0.0000], [0.3333, 0.6667, 0.7034], [0.6667, 0.3333, 0.2966], [0.0000, 0.0000, 0.5000], [0.3333, 0.6667, 0.1623], [0.6667, 0.3333, 0.8377], [0.0000, 0.5000, 0.0000], [0.1720, 0.3441, 0.3122], [0.1720, 0.8280, 0.3122], [0.3441, 0.1720, 0.6878], [0.5000, 0.0000, 0.0000], [0.5000, 0.5000, 0.0000], [0.6559, 0.8280, 0.3122], [0.8280, 0.1720, 0.6878], [0.8280, 0.6559, 0.6878]]}